VASP calculation (GGA-PBE) on a geometry-optimized TlClF structure.

Cell lengths 3.991, 6.608, 6.591 Å; angles 105.08, 90.00, 90.00 degrees
Atoms (fractional coordinates):
Tl (0.000, 0.152, 0.856)
Tl (0.500, 0.652, 0.356)
Cl (0.000, 0.824, 0.186)
Cl (0.000, 0.480, 0.527)
F (0.500, 0.919, 0.626)
F (0.500, 0.384, 0.086)

## Properties
* space-group type: No. 10
* uncorrected formation energy: -1.327 eV/atom
* V: 27.967 Å³ per atom
* M_tot: 0.0 μB/f.u.